[1]
AgHg2Se | PBE | optimized geometry

Cell and atoms, written as POSCAR:
```
AgHg2Se
1.0
-1.965 2.637 4.393
1.965 -2.637 4.393
1.965 2.637 -4.393
Ag Hg Se
1 2 1
Direct
0.000 0.000 0.000
0.247 0.747 0.500
0.753 0.253 0.500
0.500 0.500 0.000
```

Properties
Symmetry   Immm, No. 71
Raw formation energy   0.1842 eV per atom
N(E_F)   0.596 states/eV per atom

[2]
AgHg2Se | PBE | optimized geometry

Cell and atoms, written as POSCAR:
```
AgHg2Se
1.0
-1.990 1.990 6.263
1.990 -1.990 6.263
1.990 1.990 -6.263
Ag Hg Se
1 2 1
Direct
0.000 0.000 0.000
0.250 0.750 0.500
0.750 0.250 0.500
0.500 0.500 0.000
```

Properties
Symmetry   I4/mmm, No. 139
Raw formation energy   0.1139 eV per atom
N(E_F)   0.325 states/eV per atom

[3]
AgHgSe | PBE | optimized geometry

Cell and atoms, written as POSCAR:
```
AgHgSe
1.0
8.241 0.000 0.000
0.000 6.286 0.000
-1.510 0.000 6.275
Ag Hg Se
4 4 4
Direct
0.000 0.250 0.250
0.000 0.250 0.750
0.000 0.750 0.250
0.000 0.750 0.750
0.401 0.000 0.136
0.401 0.500 0.636
0.599 0.000 0.864
0.599 0.500 0.364
0.233 0.000 0.428
0.233 0.500 0.928
0.767 0.000 0.572
0.767 0.500 0.072
```

Properties
Relative energy among the computed polymorphs   0.00 eV/f.u.
Symmetry   P2_1/c, No. 14
Raw formation energy   -0.0961 eV per atom

[4]
AgHg3Se | PBE | optimized geometry

Cell and atoms, written as POSCAR:
```
AgHg3Se
1.0
5.384 0.000 0.000
0.000 5.384 0.000
0.000 0.000 5.384
Ag Hg Se
1 3 1
Direct
0.000 0.000 0.000
0.000 0.000 0.500
0.000 0.500 0.000
0.500 0.000 0.000
0.500 0.500 0.500
```

Properties
Relative energy among the computed polymorphs   0.00 eV/f.u.
Symmetry   Pm-3m, No. 221
Raw formation energy   0.3697 eV per atom
N(E_F)   0.779 states/eV per atom